Density functional theory data (PBE+U) for an optimized crystal structure of Ba3Fe2Cl2O4.

Output
The energy is -5.66 eV/atom. The value obtained for the total magnetization is 8.005 μB/cell.

Cell: 4.1760 4.1760 12.4708 Å, 99.64 99.64 90.00°
With the nearest neighbours (Å) after each atom.
Sites, in units of the cell vectors:
Ba1 0.0000 0.0000 0.0000  8 O 2.83
Ba2 0.1532 0.1532 0.3065  4 O 2.76
Ba3 0.8468 0.8468 0.6935  4 O 2.76
Fe1 0.4274 0.4274 0.8548  4 O 2.09
Fe2 0.5726 0.5726 0.1452  4 O 2.09
Cl1 0.2982 0.2982 0.5965  1 Fe 3.13, 4 Ba 3.18
Cl2 0.7018 0.7018 0.4035  1 Fe 3.13, 4 Ba 3.18
O1 0.4214 0.9214 0.8428  2 Fe 2.09
O2 0.9214 0.4214 0.8428  2 Fe 2.09
O3 0.0786 0.5786 0.1572  2 Fe 2.09
O4 0.5786 0.0786 0.1572  2 Fe 2.09